(1)
# HgGe2S2, relaxed, DFT PBE
data_HgGe2S2
_cell_length_a 3.6391
_cell_length_b 3.6391
_cell_length_c 34.1385
_cell_angle_alpha 90.00
_cell_angle_beta 90.00
_cell_angle_gamma 120.00
_space_group_name_H-M_alt 'R -3 m'
_space_group_IT_number 166
_space_group_name_Hall '-R 3 2"'
loop_
_atom_site_label
_atom_site_fract_x
_atom_site_fract_y
_atom_site_fract_z
Hg1 0.0000 0.0000 0.0000
Ge1 0.0000 0.0000 0.1971
S1 0.0000 0.0000 0.4329
# V	392	Å³/cell
# ΔE_f (raw)	-194.0	meV per atom
# energy above the lowest structure with this stoichiometry	0	meV per atom


(2)
# Dy2Y5Th3, relaxed, DFT PBE
data_Dy2Y5Th3
_cell_length_a 11.274
_cell_length_b 5.046
_cell_length_c 11.320
_cell_angle_alpha 90.00
_cell_angle_beta 90.41
_cell_angle_gamma 90.00
_space_group_name_H-M_alt 'C 1 2/m 1'
_space_group_IT_number 12
_space_group_name_Hall '-C 2y'
loop_
_atom_site_label
_atom_site_fract_x
_atom_site_fract_y
_atom_site_fract_z
Dy1 0.098 0.000 0.297
Y1 0.000 0.500 0.500
Y2 0.199 0.000 0.602
Y3 0.200 0.500 0.099
Th1 0.000 0.000 0.000
Th2 0.098 0.500 0.800
# formation energy	0.38	eV/f.u.
# V	644	Å³/cell


(3)
# DyY2Ru2, relaxed, DFT PBE
data_DyY2Ru2
_cell_length_a 3.402
_cell_length_b 20.532
_cell_length_c 3.378
_cell_angle_alpha 90.00
_cell_angle_beta 90.00
_cell_angle_gamma 90.00
_space_group_name_H-M_alt 'C m m m'
_space_group_IT_number 65
_space_group_name_Hall '-C 2 2'
loop_
_atom_site_label
_atom_site_fract_x
_atom_site_fract_y
_atom_site_fract_z
Dy1 0.000 0.000 0.000
Y1 0.000 0.164 0.000
Ru1 0.000 0.413 0.500
# formation energy	-1.49	eV/f.u.
# V	236	Å³/cell
# energy above the lowest structure with this stoichiometry	0	meV per atom


(4)
# Cr2NiC, relaxed, DFT PBE
data_Cr2NiC
_cell_length_a 6.318
_cell_length_b 6.318
_cell_length_c 4.169
_cell_angle_alpha 90.00
_cell_angle_beta 90.00
_cell_angle_gamma 90.00
_space_group_name_H-M_alt 'I -4 2 d'
_space_group_IT_number 122
_space_group_name_Hall 'I -4 2bw'
loop_
_atom_site_label
_atom_site_fract_x
_atom_site_fract_y
_atom_site_fract_z
Cr1 0.163 0.250 0.125
Ni1 0.000 0.000 0.500
C1 0.000 0.000 0.000
# formation energy	1.32	eV/f.u.
# V	166	Å³/cell


(5)
# LiBe2Cd, relaxed, DFT PBE
data_LiBe2Cd
_cell_length_a 4.142
_cell_length_b 4.142
_cell_length_c 5.806
_cell_angle_alpha 90.00
_cell_angle_beta 90.00
_cell_angle_gamma 90.00
_space_group_name_H-M_alt 'I -4 m 2'
_space_group_IT_number 119
_space_group_name_Hall 'I -4 -2'
loop_
_atom_site_label
_atom_site_fract_x
_atom_site_fract_y
_atom_site_fract_z
Li1 0.000 0.000 0.000
Be1 0.000 0.000 0.500
Be2 0.000 0.500 0.750
Cd1 0.000 0.500 0.250
# formation energy	0.82	eV/f.u.
# V	100	Å³/cell


(6)
# Tm2Fe5Co5, relaxed, DFT PBE
data_Tm2Fe5Co5
_cell_length_a 3.917
_cell_length_b 4.981
_cell_length_c 8.607
_cell_angle_alpha 90.00
_cell_angle_beta 90.00
_cell_angle_gamma 90.00
_space_group_name_H-M_alt 'P m m m'
_space_group_IT_number 47
_space_group_name_Hall '-P 2 2'
loop_
_atom_site_label
_atom_site_fract_x
_atom_site_fract_y
_atom_site_fract_z
Tm1 0.000 0.000 0.000
Tm2 0.000 0.500 0.500
Fe1 0.000 0.000 0.331
Fe2 0.000 0.500 0.166
Fe3 0.500 0.000 0.500
Co1 0.500 0.250 0.250
Co2 0.500 0.500 0.000
# formation energy	-1.74	eV/f.u.
# V	168	Å³/cell


(7)
# YAlSb2, relaxed, DFT PBE
data_YAlSb2
_cell_length_a 6.353
_cell_length_b 7.795
_cell_length_c 4.069
_cell_angle_alpha 90.00
_cell_angle_beta 90.00
_cell_angle_gamma 90.00
_space_group_name_H-M_alt 'C m m m'
_space_group_IT_number 65
_space_group_name_Hall '-C 2 2'
loop_
_atom_site_label
_atom_site_fract_x
_atom_site_fract_y
_atom_site_fract_z
Y1 0.000 0.000 0.000
Al1 0.000 0.500 0.000
Sb1 0.250 0.250 0.500
# V	202	Å³/cell
# ΔE_f (raw)	-391.8	meV per atom


(8)
# V5S8, relaxed, DFT PBE
data_V5S8
_cell_length_a 11.288
_cell_length_b 6.614
_cell_length_c 7.893
_cell_angle_alpha 90.00
_cell_angle_beta 133.81
_cell_angle_gamma 90.00
_space_group_name_H-M_alt 'C 1 2/m 1'
_space_group_IT_number 12
_space_group_name_Hall '-C 2y'
loop_
_atom_site_label
_atom_site_fract_x
_atom_site_fract_y
_atom_site_fract_z
V1 0.000 0.000 0.000
V2 0.000 0.295 0.500
V3 0.224 0.500 0.491
S1 0.015 0.000 0.709
S2 0.057 0.500 0.783
S3 0.211 0.249 0.247
# V	425	Å³/cell
# ΔE_f (raw)	-943.5	meV per atom


(9)
# KGa2CuS4, relaxed, DFT PBE
data_KGa2CuS4
_cell_length_a 5.474
_cell_length_b 5.474
_cell_length_c 12.311
_cell_angle_alpha 90.00
_cell_angle_beta 90.00
_cell_angle_gamma 90.00
_space_group_name_H-M_alt 'I -4 2 m'
_space_group_IT_number 121
_space_group_name_Hall 'I -4 2'
loop_
_atom_site_label
_atom_site_fract_x
_atom_site_fract_y
_atom_site_fract_z
K1 0.000 0.000 0.000
Ga1 0.000 0.500 0.250
Cu1 0.000 0.000 0.500
S1 0.211 0.211 0.644
# V	369	Å³/cell
# ΔE_f (raw)	-618.7	meV per atom


(10)
# CoRh2, relaxed, DFT PBE
data_CoRh2
_cell_length_a 4.2883
_cell_length_b 4.2883
_cell_length_c 2.6218
_cell_angle_alpha 90.00
_cell_angle_beta 90.00
_cell_angle_gamma 120.00
_space_group_name_H-M_alt 'P 6/m m m'
_space_group_IT_number 191
_space_group_name_Hall '-P 6 2'
loop_
_atom_site_label
_atom_site_fract_x
_atom_site_fract_y
_atom_site_fract_z
Co1 0.0000 0.0000 0.0000
Rh1 0.3333 0.6667 0.5000
# formation energy	0.82	eV/f.u.
# V	42	Å³/cell


(11)
# Pr2MnZn2Ni5, relaxed, DFT PBE
data_Pr2MnZn2Ni5
_cell_length_a 9.529
_cell_length_b 9.529
_cell_length_c 3.561
_cell_angle_alpha 90.00
_cell_angle_beta 90.00
_cell_angle_gamma 90.00
_space_group_name_H-M_alt 'P 4/m b m'
_space_group_IT_number 127
_space_group_name_Hall '-P 4 2ab'
loop_
_atom_site_label
_atom_site_fract_x
_atom_site_fract_y
_atom_site_fract_z
Pr1 0.180 0.320 0.000
Mn1 0.000 0.000 0.000
Zn1 0.118 0.618 0.000
Ni1 0.000 0.500 0.500
Ni2 0.055 0.802 0.500
# formation energy	-0.98	eV/f.u.
# V	323	Å³/cell


| no. | total energy (Ha/atom) |
| --- | --- |
| 1 | -0.1379 |
| 2 | -0.2330 |
| 3 | -0.2761 |
| 4 | -0.3026 |
| 5 | -0.0869 |
| 6 | -0.2711 |
| 7 | -0.1839 |
| 8 | -0.2569 |
| 9 | -0.1502 |
| 10 | -0.2571 |
| 11 | -0.1880 |